Density functional theory data (SCAN) for Pr6Ge3Se14 at its PBEsol-relaxed geometry.

Results
The calculation puts the uncorrected formation energy at -1.527 eV per atom.

Lattice parameters (Å, degrees): 6.005 10.603 10.603 120.00 90.00 90.00
Sites, in units of the cell vectors:
Pr: 0.749 0.462 0.438
Pr: 0.749 0.975 0.538
Pr: 0.749 0.562 0.025
Pr: 0.244 0.205 0.896
Pr: 0.244 0.104 0.309
Pr: 0.244 0.691 0.795
Se: 0.986 0.917 0.765
Se: 0.238 0.075 0.575
Se: 0.728 0.239 0.830
Se: 0.945 0.667 0.333
Se: 0.492 0.432 0.182
Se: 0.492 0.750 0.568
Se: 0.238 0.500 0.925
Se: 0.986 0.849 0.083
Se: 0.728 0.591 0.761
Se: 0.238 0.425 0.500
Se: 0.492 0.818 0.250
Se: 0.438 0.000 0.000
Se: 0.986 0.235 0.151
Se: 0.728 0.170 0.409
Ge: 0.825 0.000 0.000
Ge: 0.333 0.667 0.333
Ge: 0.484 0.333 0.667

---

Density functional theory data (SCAN) for PrVGe3 at its PBEsol-relaxed geometry.

Results
As for the density of states at the Fermi level: 0.42 states/eV/atom.

Lattice parameters (Å, degrees): 5.549 6.194 6.194 120.00 90.00 90.00
Sites, in units of the cell vectors:
Ge: 0.750 0.806 0.194
Ge: 0.750 0.389 0.194
Ge: 0.250 0.194 0.389
Ge: 0.250 0.611 0.806
Ge: 0.250 0.194 0.806
Ge: 0.750 0.806 0.611
Pr: 0.250 0.667 0.333
Pr: 0.750 0.333 0.667
V: 0.500 0.000 0.000
V: 0.000 0.000 0.000

---

Density functional theory data (SCAN) for PrZnGe at its PBEsol-relaxed geometry.

Results
As for the density of states at the Fermi level: 0.57 states/eV/atom.

Lattice parameters (Å, degrees): 4.197 4.197 8.436 90.00 90.00 120.00
Sites, in units of the cell vectors:
Pr: 0.000 0.000 0.000
Pr: 0.000 0.000 0.500
Ge: 0.667 0.333 0.250
Ge: 0.333 0.667 0.750
Zn: 0.333 0.667 0.250
Zn: 0.667 0.333 0.750

---

Density functional theory data (SCAN) for Pr2Zn6Ge3 at its PBEsol-relaxed geometry.

Results
As for the density of states at the Fermi level: 0.12 states/eV/atom.

Lattice parameters (Å, degrees): 4.057 7.549 7.549 120.00 90.00 90.00
Sites, in units of the cell vectors:
Zn: 0.500 0.000 0.713
Zn: 0.000 0.811 0.811
Zn: 0.500 0.713 0.000
Zn: 0.000 0.000 0.189
Zn: 0.500 0.287 0.287
Zn: 0.000 0.189 0.000
Ge: 0.500 0.000 0.382
Ge: 0.500 0.382 0.000
Ge: 0.500 0.618 0.618
Pr: 0.000 0.667 0.333
Pr: 0.000 0.333 0.667

---

Density functional theory data (SCAN) for GePt2 at its PBEsol-relaxed geometry.

Results
As for the density of states at the Fermi level: 0.13 states/eV/atom.

Lattice parameters (Å, degrees): 3.436 6.780 6.780 120.00 90.00 90.00
Sites, in units of the cell vectors:
Pt: 0.500 0.375 0.375
Pt: 0.000 0.287 0.000
Pt: 0.000 0.000 0.287
Pt: 0.500 0.000 0.625
Pt: 0.000 0.713 0.713
Pt: 0.500 0.625 0.000
Ge: 0.000 0.667 0.333
Ge: 0.000 0.333 0.667
Ge: 0.500 0.000 0.000

---

Density functional theory data (SCAN) for Ge2Pt3 at its PBEsol-relaxed geometry.

Results
As for the density of states at the Fermi level: 0.36 states/eV/atom.

Lattice parameters (Å, degrees): 6.875 7.559 12.208 90.00 90.00 90.00
Sites, in units of the cell vectors:
Ge: 0.126 0.972 0.755
Ge: 0.874 0.028 0.245
Ge: 0.628 0.750 0.494
Ge: 0.121 0.750 0.490
Ge: 0.621 0.250 0.010
Ge: 0.879 0.250 0.510
Ge: 0.379 0.750 0.990
Ge: 0.626 0.028 0.745
Ge: 0.374 0.972 0.255
Ge: 0.126 0.528 0.755
Ge: 0.374 0.528 0.255
Ge: 0.372 0.250 0.506
Ge: 0.872 0.750 0.994
Ge: 0.874 0.472 0.245
Ge: 0.128 0.250 0.006
Ge: 0.626 0.472 0.745
Pt: 0.344 0.250 0.715
Pt: 0.411 0.750 0.782
Pt: 0.123 0.058 0.409
Pt: 0.872 0.059 0.912
Pt: 0.128 0.941 0.088
Pt: 0.877 0.942 0.591
Pt: 0.377 0.442 0.909
Pt: 0.628 0.441 0.412
Pt: 0.128 0.559 0.088
Pt: 0.628 0.059 0.412
Pt: 0.589 0.250 0.218
Pt: 0.911 0.250 0.718
Pt: 0.877 0.558 0.591
Pt: 0.372 0.941 0.588
Pt: 0.372 0.559 0.588
Pt: 0.656 0.750 0.285
Pt: 0.123 0.442 0.409
Pt: 0.872 0.441 0.912
Pt: 0.089 0.750 0.282
Pt: 0.623 0.942 0.091
Pt: 0.377 0.058 0.909
Pt: 0.156 0.250 0.215
Pt: 0.623 0.558 0.091
Pt: 0.844 0.750 0.785

---

Density functional theory data (SCAN) for Ge2Pt3 at its PBEsol-relaxed geometry.

Results
As for the density of states at the Fermi level: 0.39 states/eV/atom.

Lattice parameters (Å, degrees): 3.473 6.314 7.576 90.00 90.00 105.96
Sites, in units of the cell vectors:
Pt: 0.160 0.321 0.942
Pt: 0.840 0.679 0.058
Pt: 0.966 0.932 0.750
Pt: 0.034 0.068 0.250
Pt: 0.160 0.321 0.558
Pt: 0.840 0.679 0.442
Ge: 0.500 0.000 0.000
Ge: 0.244 0.487 0.250
Ge: 0.500 0.000 0.500
Ge: 0.756 0.513 0.750

---

Density functional theory data (SCAN) for GePt at its PBEsol-relaxed geometry.

Results
As for the density of states at the Fermi level: 0.26 states/eV/atom.

Lattice parameters (Å, degrees): 3.708 5.738 6.071 90.00 90.00 90.00
Sites, in units of the cell vectors:
Ge: 0.750 0.815 0.411
Ge: 0.250 0.685 0.911
Ge: 0.250 0.185 0.589
Ge: 0.750 0.315 0.089
Pt: 0.750 0.000 0.809
Pt: 0.250 0.500 0.309
Pt: 0.750 0.500 0.691
Pt: 0.250 0.000 0.191

---

Density functional theory data (SCAN) for Rb3GePt at its PBEsol-relaxed geometry.

Results
As for the density of states at the Fermi level: 1.67 states/eV/atom.

Lattice parameters (Å, degrees): 6.247 6.247 6.247 90.00 90.00 90.00
Site moments in Bohr magnetons follow the coordinates.
Sites, in units of the cell vectors:
Rb: 0.500 0.000 0.000  0.07
Rb: 0.000 0.000 0.500  0.07
Rb: 0.000 0.500 0.000  0.07
Ge: 0.000 0.000 0.000  0.91
Pt: 0.500 0.500 0.500  0.52

---

Density functional theory data (SCAN) for ReGePt3 at its PBEsol-relaxed geometry.

Results
As for the density of states at the Fermi level: 0.73 states/eV/atom.

Lattice parameters (Å, degrees): 4.541 4.541 4.541 90.00 90.00 90.00
Site moments in Bohr magnetons follow the coordinates.
Sites, in units of the cell vectors:
Pt: 0.000 0.500 0.000  0.08
Pt: 0.000 0.000 0.500  0.08
Pt: 0.500 0.000 0.000  0.08
Re: 0.500 0.500 0.500  3.18
Ge: 0.000 0.000 0.000  0.02

---

Density functional theory data (SCAN) for Ge3PtRh at its PBEsol-relaxed geometry.

Results
As for the density of states at the Fermi level: 0.69 states/eV/atom.

Lattice parameters (Å, degrees): 4.720 4.720 4.720 90.00 90.00 90.00
Sites, in units of the cell vectors:
Rh: 0.500 0.500 0.500
Ge: 0.500 0.000 0.000
Ge: 0.000 0.500 0.000
Ge: 0.000 0.000 0.500
Pt: 0.000 0.000 0.000

---

Density functional theory data (SCAN) for Tc2GePtRh at its PBEsol-relaxed geometry.

Results
As for the density of states at the Fermi level: 1.35 states/eV/atom.

Lattice parameters (Å, degrees): 4.621 4.621 4.806 90.00 90.00 90.00
Site moments in Bohr magnetons follow the coordinates.
Sites, in units of the cell vectors:
Pt: 0.000 0.000 0.000  0.05
Ge: 0.500 0.500 0.500  -0.06
Tc: 0.000 0.500 0.000  1.75
Tc: 0.500 0.000 0.000  1.75
Rh: 0.000 0.000 0.500  0.54

---

In the order shown, the computed E_tot values come out to -27.540; -24.203; -26.098; -20.952; -53.548; -50.269; -50.266; -45.228; -29.575; -58.908; -31.544; -36.898 eV per atom.